{
  "formula": "Pr7TlAg4",
  "functional": "PBE",
  "state": "optimized geometry",
  "lattice": [[-1.179, -3.167, 4.845], [4.707, -7.676, -0.271], [6.133, 0.049, 5.125]],
  "species": ["Pr", "Pr", "Pr", "Pr", "Pr", "Pr", "Pr", "Tl", "Ag", "Ag", "Ag", "Ag"],
  "frac_coords": [[0.812, 0.892, 0.484], [0.188, 0.108, 0.516], [0.073, 0.596, 0.257], [0.927, 0.404, 0.743], [0.277, 0.687, 0.759], [0.500, 0.000, 0.000], [0.723, 0.313, 0.241], [0.000, 0.000, 0.000], [0.521, 0.318, 0.640], [0.479, 0.682, 0.360], [0.689, 0.657, 0.964], [0.311, 0.343, 0.036]],
  "spacegroup": "C2/m (12)",
  "dft_energy_ev_per_atom": -4.014,
  "magmom_total_mub_per_cell": 0.0,
  "formation_enthalpy_0k_mev_per_atom": -78
}

{
  "formula": "AgIrOs2",
  "functional": "PBE",
  "state": "optimized geometry",
  "lattice": [[-5.175, -4.282, 6.604], [-6.473, -5.247, 4.392], [-4.232, -6.514, 5.327]],
  "species": ["Ir", "Os", "Os", "Ag"],
  "frac_coords": [[0.750, 0.750, 0.750], [0.005, 0.005, 0.005], [0.495, 0.495, 0.495], [0.250, 0.250, 0.250]],
  "spacegroup": "R-3m (166)",
  "dft_energy_ev_per_atom": -8.195,
  "relative_energy_mev_per_atom": 73,
  "magmom_total_mub_per_cell": 0.0,
  "formation_enthalpy_0k_mev_per_atom": 348
}

{
  "formula": "SrVAs2",
  "functional": "PBE",
  "state": "optimized geometry",
  "lattice": [[-4.992, -5.100, -1.186], [4.175, -2.888, -5.154], [1.350, -6.354, -0.423]],
  "species": ["Sr", "Sr", "As", "As", "As", "As", "V", "V"],
  "frac_coords": [[0.000, 0.000, 0.000], [0.750, 0.250, 0.500], [0.547, 0.125, 0.250], [0.203, 0.625, 0.250], [0.375, 0.453, 0.750], [0.875, 0.797, 0.750], [0.500, 0.500, 0.000], [0.250, 0.750, 0.500]],
  "spacegroup": "I-42d (122)",
  "dft_energy_ev_per_atom": -5.491,
  "relative_energy_mev_per_atom": 62,
  "magmom_total_mub_per_cell": 2.0,
  "formation_enthalpy_0k_mev_per_atom": -466
}

{
  "formula": "Tl2RuO5",
  "functional": "PBE",
  "state": "optimized geometry",
  "lattice": [[-1.056, 0.916, -3.432], [1.320, -7.060, -2.291], [-14.869, -3.924, 3.527]],
  "species": ["Tl", "Tl", "Tl", "Tl", "Tl", "Tl", "Tl", "Tl", "Ru", "Ru", "Ru", "Ru", "O", "O", "O", "O", "O", "O", "O", "O", "O", "O", "O", "O", "O", "O", "O", "O", "O", "O", "O", "O"],
  "frac_coords": [[0.750, 0.410, 0.414], [0.750, 0.340, 0.763], [0.250, 0.160, 0.263], [0.250, 0.090, 0.914], [0.750, 0.910, 0.086], [0.750, 0.840, 0.737], [0.250, 0.660, 0.237], [0.250, 0.590, 0.586], [0.750, 0.394, 0.071], [0.250, 0.106, 0.571], [0.750, 0.894, 0.429], [0.250, 0.606, 0.929], [0.250, 0.431, 0.322], [0.250, 0.444, 0.041], [0.250, 0.379, 0.853], [0.250, 0.334, 0.503], [0.750, 0.260, 0.169], [0.250, 0.240, 0.669], [0.750, 0.166, 0.003], [0.750, 0.121, 0.353], [0.750, 0.056, 0.541], [0.750, 0.069, 0.822], [0.250, 0.931, 0.178], [0.250, 0.944, 0.459], [0.250, 0.879, 0.647], [0.250, 0.834, 0.997], [0.750, 0.760, 0.331], [0.250, 0.740, 0.831], [0.750, 0.666, 0.497], [0.750, 0.621, 0.147], [0.750, 0.556, 0.959], [0.750, 0.569, 0.678]],
  "spacegroup": "Pnma (62)",
  "e_form_raw_ev_per_atom": -0.7415,
  "dft_energy_ev_per_atom": -5.591,
  "magmom_total_mub_per_cell": 0.0
}